1.
Computed, not measured: a relaxed PuMg2Cu9 crystal at the GGA-PBE level of DFT.

a = 5.058 Å, b = 5.058 Å, c = 8.540 Å
α = 72.77°, β = 72.77°, γ = 60.00°
Site moments in Bohr magnetons follow the coordinates.
Atoms (fractional coordinates):
1 Pu 0.000 0.000 0.000  5.25
2 Mg 0.855 0.855 0.435  0.00
3 Mg 0.145 0.145 0.565  0.00
4 Cu 0.667 0.667 0.999  0.01
5 Cu 0.333 0.333 0.001  0.01
6 Cu 0.500 0.500 0.500  0.00
7 Cu 0.414 0.414 0.255  0.01
8 Cu 0.918 0.414 0.255  0.01
9 Cu 0.414 0.918 0.255  0.01
10 Cu 0.586 0.586 0.745  0.01
11 Cu 0.586 0.082 0.745  0.01
12 Cu 0.082 0.586 0.745  0.01

Results
Formation enthalpy at 0 K: -0.09 eV per atom
SG: No. 166

2.
Computed, not measured: a relaxed AcLaGeRu crystal at the GGA-PBE level of DFT.

a = 4.530 Å, b = 4.464 Å, c = 5.778 Å
α = 90.00°, β = 113.08°, γ = 90.00°
Atoms (fractional coordinates):
1 Ac 0.146 0.000 0.292
2 La 0.863 0.500 0.725
3 Ge 0.558 0.500 0.116
4 Ru 0.433 0.000 0.866

Results
Relative energy among the computed polymorphs: 0.0000 eV per atom
Formation enthalpy at 0 K: -0.48 eV per atom
SG: No. 38

3.
Computed, not measured: a relaxed KAsO2 crystal at the GGA-PBE level of DFT.

a = 7.260 Å, b = 7.260 Å, c = 7.260 Å
α = 26.17°, β = 26.17°, γ = 26.17°
Atoms (fractional coordinates):
1 As 0.500 0.500 0.500
2 K 0.000 0.000 0.000
3 O 0.887 0.887 0.887
4 O 0.113 0.113 0.113

Results
Formation energy (no corrections): -0.75 eV per atom
SG: No. 166

Looking at density of states at the Fermi level for the records above, in order, we have 16.52; 3.33; 2.03 states/eV per cell.